# 1
The following is a DFT calculation (GGA-PBE) of a relaxed IrRuSe2 crystal.

Cell: 6.0380 8.1344 2.8036 Å, 90.00 90.00 90.00°
Space group Cmmm (No. 65)
One atom of each set of equivalent atoms:
Ir: 0.0000 0.0000 0.0000 x2
Ru: 0.0000 0.5000 0.0000 x2
Se: 0.2500 0.2500 0.0000 x4

Output
M_tot: 0.000 μB per formula unit
Raw total energy: -46.38 eV for the cell shown
ΔE_f (raw): 478 meV per atom
Energy relative to the lowest polymorph listed for this composition: 0.429 eV/atom

# 2
The following is a DFT calculation (GGA-PBE) of a relaxed TbPr2MgTe5 crystal.

Cell: 4.3752 19.1575 13.5861 Å, 90.00 90.00 90.00°
Space group Cmc2_1 (No. 36)
One atom of each set of equivalent atoms:
Tb: 0.0000 0.2045 0.0000 x4
Pr: 0.0000 0.1122 0.6709 x4
Pr: 0.0000 0.1333 0.2920 x4
Mg: 0.0000 0.4448 0.4441 x4
Te: 0.0000 0.0498 0.0628 x4
Te: 0.0000 0.2831 0.6589 x4
Te: 0.0000 0.3117 0.3366 x4
Te: 0.0000 0.3638 0.9871 x4
Te: 0.0000 0.4960 0.7650 x4

Output
M_tot: 0.000 μB per formula unit
Raw total energy: -171.40 eV for the cell shown
ΔE_f (raw): -1262 meV per atom

> Look up the M_tot of the second one.

0.000 μB per formula unit

> Look up the raw total energy of the second one.

-171.40 eV for the cell shown